Entry 1:
The following is a GGA-PBE calculation of a geometry-optimized Ba2AgS structure, from OQMD.

Calculated values
E_tot: -3.7783 eV/atom

abc: 6.4984 4.6869 9.4928
angles: 90.00 100.21 90.00
With the nearest neighbours (Å) after each atom.
Sites, in units of the cell vectors:
Ag (0.3710, 0.7500, 0.4579)  2 Ag 2.91
Ag (0.6290, 0.2500, 0.5421)  2 Ag 2.91
Ba (0.2821, 0.2500, 0.1381)  4 S 3.18-3.29
Ba (0.8233, 0.7500, 0.3271)  2 S 3.22, 4 Ag 3.39-3.56
Ba (0.1767, 0.2500, 0.6729)  2 S 3.22, 4 Ag 3.39-3.56
Ba (0.7179, 0.7500, 0.8619)  4 S 3.18-3.29
S (0.7710, 0.2500, 0.0913)  6 Ba 3.18-3.29
S (0.2290, 0.7500, 0.9087)  6 Ba 3.18-3.29

Entry 2:
The following is a GGA-PBE calculation of a geometry-optimized Ba4AgS3 structure, from OQMD.

Calculated values
E_tot: -4.3874 eV/atom

abc: 6.5126 4.5740 9.4259
angles: 90.00 90.04 90.00
With the nearest neighbours (Å) after each atom.
Sites, in units of the cell vectors:
Ag (0.7497, 0.0000, 0.8749)  6 Ba 3.26-3.41
Ba (0.7494, 0.5000, 0.1431)  4 S 3.16-3.26, 2 Ag 3.41
Ba (0.2504, 0.0000, 0.3753)  6 S 3.25-3.26
Ba (0.7506, 0.5000, 0.6066)  4 S 3.16-3.26, 2 Ag 3.41
Ba (0.2498, 0.0000, 0.8751)  2 Ag 3.26, 4 S 3.31
S (0.2495, 0.5000, 0.1291)  6 Ba 3.26-3.31
S (0.7500, 0.0000, 0.3748)  6 Ba 3.16-3.26
S (0.2505, 0.5000, 0.6210)  6 Ba 3.26-3.31

Entry 3:
The following is a GGA-PBE calculation of a geometry-optimized BaAgSbS3 structure, from OQMD.

Calculated values
E_tot: -4.4150 eV/atom

abc: 6.2403 6.2403 17.3676
angles: 98.51 98.51 81.27
With the nearest neighbours (Å) after each atom.
Sites, in units of the cell vectors:
Ag (0.9255, 0.0745, 0.2500)  4 S 2.50-2.77
Ag (0.3004, 0.6996, 0.2500)  2 S 2.44
Ag (0.6996, 0.3004, 0.7500)  2 S 2.44
Ag (0.0745, 0.9255, 0.7500)  4 S 2.50-2.77
Ba (0.7971, 0.5495, 0.1115)  7 S 3.23-3.36
Ba (0.4505, 0.2029, 0.3885)  7 S 3.23-3.36
Ba (0.5495, 0.7971, 0.6115)  7 S 3.23-3.36
Ba (0.2029, 0.4505, 0.8885)  7 S 3.23-3.36
S (0.3043, 0.4207, 0.0806)  1 Sb 2.45
S (0.9368, 0.0254, 0.1049)  1 Sb 2.47, 1 Ag 2.50
S (0.5055, 0.9636, 0.2132)  1 Ag 2.44, 1 Sb 2.52
S (0.0364, 0.4945, 0.2868)  1 Ag 2.44, 1 Sb 2.52
S (0.9746, 0.0632, 0.3951)  1 Sb 2.47, 1 Ag 2.50
S (0.5793, 0.6957, 0.4194)  1 Sb 2.45
S (0.4207, 0.3043, 0.5806)  1 Sb 2.45
S (0.0254, 0.9368, 0.6049)  1 Sb 2.47, 1 Ag 2.50
S (0.9636, 0.5055, 0.7132)  1 Ag 2.44, 1 Sb 2.52
S (0.4945, 0.0364, 0.7868)  1 Ag 2.44, 1 Sb 2.52
S (0.0632, 0.9746, 0.8951)  1 Sb 2.47, 1 Ag 2.50
S (0.6957, 0.5793, 0.9194)  1 Sb 2.45
Sb (0.3146, 0.0260, 0.0786)  3 S 2.45-2.52
Sb (0.9740, 0.6854, 0.4214)  3 S 2.45-2.52
Sb (0.0260, 0.3146, 0.5786)  3 S 2.45-2.52
Sb (0.6854, 0.9740, 0.9214)  3 S 2.45-2.52

Entry 4:
The following is a GGA-PBE calculation of a geometry-optimized Ba2AgSbS6 structure, from OQMD.

Calculated values
E_tot: -4.2751 eV/atom

abc: 7.1140 7.1140 7.1140
angles: 120.00 120.00 60.00
With the nearest neighbours (Å) after each atom.
Sites, in units of the cell vectors:
Ag (0.5000, 0.5000, 0.5000)  6 S 2.52
Ba (0.7500, 0.7500, 0.2500)  12 S 3.56
Ba (0.2500, 0.2500, 0.7500)  12 S 3.56
S (0.2496, 0.2496, 0.2496)  1 Sb 2.51, 1 Ag 2.52
S (0.7504, 0.2496, 0.2496)  1 Sb 2.51, 1 Ag 2.52
S (0.2496, 0.7504, 0.2496)  1 Sb 2.51, 1 Ag 2.52
S (0.7504, 0.7504, 0.7504)  1 Sb 2.51, 1 Ag 2.52
S (0.7504, 0.2496, 0.7504)  1 Sb 2.51, 1 Ag 2.52
S (0.2496, 0.7504, 0.7504)  1 Sb 2.51, 1 Ag 2.52
Sb (0.0000, 0.0000, 0.0000)  6 S 2.51

Entry 5:
The following is a GGA-PBE calculation of a geometry-optimized BaSc3AgS6 structure, from OQMD.

Calculated values
E_tot: -6.1489 eV/atom

abc: 16.2727 11.1973 10.9979
angles: 90.00 90.00 90.00
With the nearest neighbours (Å) after each atom.
Sites, in units of the cell vectors:
Ag (0.7880, 0.7500, 0.0436)  5 S 2.60-2.81
Ag (0.1768, 0.7500, 0.0494)  3 S 2.44-2.56
Ag (0.6768, 0.7500, 0.4506)  3 S 2.44-2.56
Ag (0.2880, 0.7500, 0.4564)  5 S 2.60-2.81
Ag (0.7120, 0.2500, 0.5436)  5 S 2.60-2.81
Ag (0.3232, 0.2500, 0.5494)  3 S 2.44-2.56
Ag (0.8232, 0.2500, 0.9506)  3 S 2.44-2.56
Ag (0.2120, 0.2500, 0.9564)  5 S 2.60-2.81
Ba (0.7036, 0.0559, 0.2343)  7 S 3.16-3.39
Ba (0.7036, 0.4441, 0.2343)  7 S 3.16-3.39
Ba (0.2036, 0.0559, 0.2657)  7 S 3.16-3.39
Ba (0.2036, 0.4441, 0.2657)  7 S 3.16-3.39
Ba (0.7964, 0.5559, 0.7343)  7 S 3.16-3.39
Ba (0.7964, 0.9441, 0.7343)  7 S 3.16-3.39
Ba (0.2964, 0.5559, 0.7657)  7 S 3.16-3.39
Ba (0.2964, 0.9441, 0.7657)  7 S 3.16-3.39
S (0.6788, 0.2500, 0.0104)  1 Ag 2.44, 2 Sc 2.57
S (0.3103, 0.0776, 0.0209)  2 Sc 2.54-2.56, 1 Ag 2.60
S (0.3103, 0.4224, 0.0209)  2 Sc 2.54-2.56, 1 Ag 2.60
S (0.0756, 0.5783, 0.0859)  1 Ag 2.56, 3 Sc 2.59-2.62
S (0.0756, 0.9217, 0.0859)  1 Ag 2.56, 3 Sc 2.59-2.62
S (0.0729, 0.2500, 0.0911)  3 Sc 2.61-2.65, 1 Ag 2.71
S (0.5147, 0.0839, 0.1353)  4 Sc 2.59-2.66
S (0.5147, 0.4161, 0.1353)  4 Sc 2.59-2.66
S (0.5197, 0.7500, 0.1369)  4 Sc 2.57-2.60
S (0.8686, 0.5883, 0.1989)  3 Sc 2.56-2.59, 1 Ag 2.81
S (0.8686, 0.9117, 0.1989)  3 Sc 2.56-2.59, 1 Ag 2.81
S (0.8623, 0.2500, 0.2036)  3 Sc 2.59-2.60, 1 Ag 2.86
S (0.3623, 0.2500, 0.2964)  3 Sc 2.59-2.60, 1 Ag 2.86
S (0.3686, 0.5883, 0.3011)  3 Sc 2.56-2.59, 1 Ag 2.81
S (0.3686, 0.9117, 0.3011)  3 Sc 2.56-2.59, 1 Ag 2.81
S (0.0197, 0.7500, 0.3631)  4 Sc 2.57-2.60
S (0.0147, 0.0839, 0.3647)  4 Sc 2.59-2.66
S (0.0147, 0.4161, 0.3647)  4 Sc 2.59-2.66
S (0.5729, 0.2500, 0.4089)  3 Sc 2.61-2.65, 1 Ag 2.71
S (0.5756, 0.5783, 0.4141)  1 Ag 2.56, 3 Sc 2.59-2.62
S (0.5756, 0.9217, 0.4141)  1 Ag 2.56, 3 Sc 2.59-2.62
S (0.8103, 0.0776, 0.4791)  2 Sc 2.54-2.56, 1 Ag 2.60
S (0.8103, 0.4224, 0.4791)  2 Sc 2.54-2.56, 1 Ag 2.60
S (0.1788, 0.2500, 0.4896)  1 Ag 2.44, 2 Sc 2.57
S (0.8212, 0.7500, 0.5104)  1 Ag 2.44, 2 Sc 2.57
S (0.1897, 0.5776, 0.5209)  2 Sc 2.54-2.56, 1 Ag 2.60
S (0.1897, 0.9224, 0.5209)  2 Sc 2.54-2.56, 1 Ag 2.60
S (0.4244, 0.0783, 0.5859)  1 Ag 2.56, 3 Sc 2.59-2.62
S (0.4244, 0.4217, 0.5859)  1 Ag 2.56, 3 Sc 2.59-2.62
S (0.4271, 0.7500, 0.5911)  3 Sc 2.61-2.65, 1 Ag 2.71
S (0.9853, 0.5839, 0.6353)  4 Sc 2.59-2.66
S (0.9853, 0.9161, 0.6353)  4 Sc 2.59-2.66
S (0.9803, 0.2500, 0.6369)  4 Sc 2.57-2.60
S (0.6314, 0.0883, 0.6989)  3 Sc 2.56-2.59, 1 Ag 2.81
S (0.6314, 0.4117, 0.6989)  3 Sc 2.56-2.59, 1 Ag 2.81
S (0.6377, 0.7500, 0.7036)  3 Sc 2.59-2.60, 1 Ag 2.86
S (0.1377, 0.7500, 0.7964)  3 Sc 2.59-2.60, 1 Ag 2.86
S (0.1314, 0.0883, 0.8011)  3 Sc 2.56-2.59, 1 Ag 2.81
S (0.1314, 0.4117, 0.8011)  3 Sc 2.56-2.59, 1 Ag 2.81
S (0.4803, 0.2500, 0.8631)  4 Sc 2.57-2.60
S (0.4853, 0.5839, 0.8647)  4 Sc 2.59-2.66
S (0.4853, 0.9161, 0.8647)  4 Sc 2.59-2.66
S (0.9271, 0.7500, 0.9089)  3 Sc 2.61-2.65, 1 Ag 2.71
S (0.9244, 0.0783, 0.9141)  1 Ag 2.56, 3 Sc 2.59-2.62
S (0.9244, 0.4217, 0.9141)  1 Ag 2.56, 3 Sc 2.59-2.62
S (0.6897, 0.5776, 0.9791)  2 Sc 2.54-2.56, 1 Ag 2.60
S (0.6897, 0.9224, 0.9791)  2 Sc 2.54-2.56, 1 Ag 2.60
S (0.3212, 0.7500, 0.9896)  1 Ag 2.44, 2 Sc 2.57
Sc (0.4066, 0.2500, 0.0697)  6 S 2.54-2.66
Sc (0.4138, 0.5856, 0.0783)  6 S 2.56-2.62
Sc (0.4138, 0.9144, 0.0783)  6 S 2.56-2.62
Sc (0.9751, 0.7500, 0.1393)  6 S 2.57-2.65
Sc (0.9656, 0.0833, 0.1411)  6 S 2.57-2.62
Sc (0.9656, 0.4167, 0.1411)  6 S 2.57-2.62
Sc (0.4656, 0.0833, 0.3589)  6 S 2.57-2.62
Sc (0.4656, 0.4167, 0.3589)  6 S 2.57-2.62
Sc (0.4751, 0.7500, 0.3607)  6 S 2.57-2.65
Sc (0.9138, 0.5856, 0.4217)  6 S 2.56-2.62
Sc (0.9138, 0.9144, 0.4217)  6 S 2.56-2.62
Sc (0.9066, 0.2500, 0.4303)  6 S 2.54-2.66
Sc (0.0934, 0.7500, 0.5697)  6 S 2.54-2.66
Sc (0.0862, 0.0856, 0.5783)  6 S 2.56-2.62
Sc (0.0862, 0.4144, 0.5783)  6 S 2.56-2.62
Sc (0.5249, 0.2500, 0.6393)  6 S 2.57-2.65
Sc (0.5344, 0.5833, 0.6411)  6 S 2.57-2.62
Sc (0.5344, 0.9167, 0.6411)  6 S 2.57-2.62
Sc (0.0344, 0.5833, 0.8589)  6 S 2.57-2.62
Sc (0.0344, 0.9167, 0.8589)  6 S 2.57-2.62
Sc (0.0249, 0.2500, 0.8607)  6 S 2.57-2.65
Sc (0.5862, 0.0856, 0.9217)  6 S 2.56-2.62
Sc (0.5862, 0.4144, 0.9217)  6 S 2.56-2.62
Sc (0.5934, 0.7500, 0.9303)  6 S 2.54-2.66

Entry 6:
The following is a GGA-PBE calculation of a geometry-optimized BaScAgSeS2 structure, from OQMD.

Calculated values
E_tot: -5.2487 eV/atom

abc: 7.2916 7.2916 10.2996
angles: 90.00 90.00 147.66
With the nearest neighbours (Å) after each atom.
Sites, in units of the cell vectors:
Ag (0.5352, 0.4648, 0.2500)  2 S 2.48, 2 Se 2.61
Ag (0.4648, 0.5352, 0.7500)  2 S 2.48, 2 Se 2.61
Ba (0.2419, 0.7581, 0.2500)  2 Se 3.20, 6 S 3.37-3.55, 2 Ag 3.54
Ba (0.7581, 0.2419, 0.7500)  2 Se 3.20, 6 S 3.37-3.55, 2 Ag 3.54
S (0.6249, 0.3751, 0.0428)  1 Ag 2.48, 2 Sc 2.72
S (0.6249, 0.3751, 0.4572)  1 Ag 2.48, 2 Sc 2.72
S (0.3751, 0.6249, 0.5428)  1 Ag 2.48, 2 Sc 2.72
S (0.3751, 0.6249, 0.9572)  1 Ag 2.48, 2 Sc 2.72
Sc (0.0000, 0.0000, 0.0000)  4 S 2.72, 2 Se 2.82
Sc (0.0000, 0.0000, 0.5000)  4 S 2.72, 2 Se 2.82
Se (0.9186, 0.0814, 0.2500)  2 Ag 2.61, 2 Sc 2.82
Se (0.0814, 0.9186, 0.7500)  2 Ag 2.61, 2 Sc 2.82

Entry 7:
The following is a GGA-PBE calculation of a geometry-optimized BaScAgTe2S structure, from OQMD.

Calculated values
E_tot: -4.8222 eV/atom

abc: 7.6715 7.6715 10.6732
angles: 90.00 90.00 147.44
With the nearest neighbours (Å) after each atom.
Sites, in units of the cell vectors:
Ag (0.4782, 0.5218, 0.2500)  2 S 2.54, 2 Te 2.76
Ag (0.5218, 0.4782, 0.7500)  2 S 2.54, 2 Te 2.76
Ba (0.7337, 0.2663, 0.2500)  2 S 3.24, 6 Te 3.46-3.61
Ba (0.2663, 0.7337, 0.7500)  2 S 3.24, 6 Te 3.46-3.61
S (0.0693, 0.9307, 0.2500)  2 Ag 2.54
S (0.9307, 0.0693, 0.7500)  2 Ag 2.54
Sc (0.0000, 0.0000, 0.0000)  2 S 2.86, 4 Te 2.98
Sc (0.0000, 0.0000, 0.5000)  2 S 2.86, 4 Te 2.98
Te (0.3635, 0.6365, 0.0453)  1 Ag 2.76, 2 Sc 2.98
Te (0.3635, 0.6365, 0.4547)  1 Ag 2.76, 2 Sc 2.98
Te (0.6365, 0.3635, 0.5453)  1 Ag 2.76, 2 Sc 2.98
Te (0.6365, 0.3635, 0.9547)  1 Ag 2.76, 2 Sc 2.98

Entry 8:
The following is a GGA-PBE calculation of a geometry-optimized BaSiAg2Se2S2 structure, from OQMD.

Calculated values
Energy relative to the lowest polymorph listed for this composition: 0 meV/atom

abc: 6.4062 6.4062 6.8560
angles: 121.04 121.04 80.17
With the nearest neighbours (Å) after each atom.
Sites, in units of the cell vectors:
Ag (0.6836, 0.3164, 0.0000)  2 S 2.53
Ag (0.3064, 0.6936, 0.0000)  2 Se 2.56
Ba (0.9968, 0.0032, 0.5000)  4 S 3.33-3.39, 4 Se 3.43-3.44
S (0.8288, 0.5188, 0.4856)  1 Si 2.14
S (0.4812, 0.1712, 0.5144)  1 Si 2.14
Se (0.1577, 0.4646, 0.1300)  1 Si 2.31, 1 Ag 2.56
Se (0.5354, 0.8423, 0.8700)  1 Si 2.31, 1 Ag 2.56
Si (0.5102, 0.4898, 0.5000)  2 S 2.14, 2 Se 2.31

Entry 9:
The following is a GGA-PBE calculation of a geometry-optimized BaSiAg2SeS3 structure, from OQMD.

Calculated values
E_tot: -4.4763 eV/atom

abc: 6.3552 6.3552 6.3600
angles: 114.50 114.50 98.97
With the nearest neighbours (Å) after each atom.
Sites, in units of the cell vectors:
Ag (0.7383, 0.2516, 0.4961)  3 S 2.58-2.66, 1 Se 2.70
Ag (0.2516, 0.7383, 0.4961)  3 S 2.58-2.66, 1 Se 2.70
Ba (0.9931, 0.9931, 0.9903)  6 S 3.29-3.48, 2 Se 3.33-3.39
S (0.8361, 0.4693, 0.0042)  1 Si 2.14
S (0.4693, 0.8361, 0.0042)  1 Si 2.14
S (0.5357, 0.5357, 0.3690)  1 Si 2.14
Se (0.1635, 0.1635, 0.6266)  1 Si 2.30
Si (0.5123, 0.5123, 0.0136)  3 S 2.14, 1 Se 2.30

Entry 10:
The following is a GGA-PBE calculation of a geometry-optimized BaSiAg2Se2S2 structure, from OQMD.

Calculated values
Energy relative to the lowest polymorph listed for this composition: 0 meV/atom

abc: 6.4529 6.4529 6.8477
angles: 121.74 121.74 68.04
With the nearest neighbours (Å) after each atom.
Sites, in units of the cell vectors:
Ag (0.6911, 0.6875, 0.2044)  1 S 2.49, 1 Se 2.60
Ag (0.3125, 0.3089, 0.7956)  1 S 2.49, 1 Se 2.60
Ba (0.0075, 0.9925, 0.0000)  4 Se 3.38-3.41, 4 S 3.39-3.41
S (0.4713, 0.8357, 0.4736)  1 Si 2.15
S (0.1643, 0.5287, 0.5264)  1 Si 2.15
Se (0.5285, 0.1632, 0.1558)  1 Si 2.31
Se (0.8368, 0.4715, 0.8442)  1 Si 2.31
Si (0.4880, 0.5120, 0.5000)  2 S 2.15, 2 Se 2.31

Entry 11:
The following is a GGA-PBE calculation of a geometry-optimized BaSiAg2Se2S2 structure, from OQMD.

Calculated values
Energy relative to the lowest polymorph listed for this composition: 4 meV/atom

abc: 6.5020 6.4140 6.9881
angles: 57.85 56.64 65.51
With the nearest neighbours (Å) after each atom.
Sites, in units of the cell vectors:
Ag (0.2443, 0.2443, 0.2557)  2 Se 2.67, 2 S 2.69
Ag (0.7443, 0.7443, 0.7557)  2 Se 2.67, 2 S 2.69
Ba (0.9978, 0.9978, 0.0022)  4 S 3.36-3.38, 4 Se 3.36-3.47
S (0.8352, 0.4700, 0.1648)  1 Si 2.14
S (0.4700, 0.8352, 0.5300)  1 Si 2.14
Se (0.1615, 0.5363, 0.4637)  1 Si 2.31
Se (0.5363, 0.1615, 0.8385)  1 Si 2.31
Si (0.5107, 0.5107, 0.4893)  2 S 2.14, 2 Se 2.31

Entry 12:
The following is a GGA-PBE calculation of a geometry-optimized BaSiAg2SeS3 structure, from OQMD.

Calculated values
E_tot: -4.4781 eV/atom

abc: 6.3390 6.3720 6.4006
angles: 112.13 115.80 99.82
With the nearest neighbours (Å) after each atom.
Sites, in units of the cell vectors:
Ag (0.7960, 0.3085, 0.4949)  1 S 2.47, 1 Se 2.58
Ag (0.1964, 0.6822, 0.5009)  3 S 2.51-2.79
Ba (0.9929, 0.9936, 0.9909)  6 S 3.32-3.43, 2 Se 3.37-3.38
S (0.8423, 0.4782, 0.0135)  1 Si 2.14
S (0.5275, 0.5312, 0.3624)  1 Si 2.15
S (0.4695, 0.8330, 0.9961)  1 Si 2.14
Se (0.1640, 0.1616, 0.6290)  1 Si 2.31, 1 Ag 2.58
Si (0.5113, 0.5117, 0.0123)  3 S 2.14-2.15, 1 Se 2.31